Here is Pr6Tl2O after structural relaxation from Alexandria via LeMat-Bulk. Energies are from GGA-PBE.

Unit cell a=6.758 b=9.346 c=9.947 alpha=90.00 beta=120.83 gamma=90.00
Positions (direct):
Pr: 0.140 0.124 0.477
Pr: 0.140 0.376 0.977
Pr: 0.323 0.746 0.942
Pr: 0.323 0.754 0.442
Pr: 0.332 0.045 0.201
Pr: 0.332 0.455 0.701
Pr: 0.668 0.545 0.299
Pr: 0.668 0.955 0.799
Pr: 0.677 0.246 0.558
Pr: 0.677 0.254 0.058
Pr: 0.860 0.624 0.023
Pr: 0.860 0.876 0.523
Tl: 0.186 0.087 0.821
Tl: 0.186 0.413 0.321
Tl: 0.814 0.587 0.679
Tl: 0.814 0.913 0.179
O: 0.500 0.000 0.500
O: 0.500 0.500 0.000

Results
Excess energy over the best structure of this formula in the dataset, kJ per mole of atoms: 0.6
Symmetry: No. 14
Energy, eV per atom: -5.01
Total magnetization, μB per atom: 0.00
Formation energy from raw total energies, eV/atom: -0.7487